[1]
A relaxed NaSrBr crystal, computed with PBE-GGA.

a b c (Å): 15.492 4.346 6.945
angles (deg): 90.00 105.76 90.00
Space group C2/m (No. 12)
Asymmetric unit:
Na (0.110, 0.000, 0.329)
Sr (0.100, 0.500, 0.825)
Br (0.242, 0.000, 0.759)

Summary:
The uncorrected formation energy comes out at -963 meV per atom. The energy above the most stable polymorph in this dataset comes out at 0 meV/atom. As for the uncorrected energy: -2.521 eV/atom. For the volume, the calculation gives 450.00 Å³ per cell.

---

[2]
A relaxed NaSr2Br5 crystal, computed with PBE-GGA.

a b c (Å): 11.272 4.860 21.531
angles (deg): 90.00 90.00 90.00
Space group Pnma (No. 62)
Asymmetric unit:
Na (0.073, 0.250, 0.069)
Sr (0.138, 0.250, 0.432)
Sr (0.186, 0.250, 0.748)
Br (0.070, 0.750, 0.328)
Br (0.119, 0.750, 0.518)
Br (0.135, 0.750, 0.011)
Br (0.136, 0.750, 0.837)
Br (0.223, 0.250, 0.179)

Summary:
The uncorrected formation energy comes out at -1926 meV per atom. As for the uncorrected energy: -3.557 eV/atom. For the volume, the calculation gives 1179.49 Å³ per cell.

---

[3]
A relaxed NaSrBr crystal, computed with PBE-GGA.

a b c (Å): 4.464 4.464 10.992
angles (deg): 90.00 90.00 90.00
Space group P4mm (No. 99)
Asymmetric unit:
Na (0.000, 0.000, 0.000)
Na (0.000, 0.000, 0.417)
Sr (0.500, 0.500, 0.232)
Sr (0.500, 0.500, 0.646)
Br (0.000, 0.000, 0.726)
Br (0.500, 0.500, 0.945)

Summary:
The uncorrected formation energy comes out at -958 meV per atom. The energy above the most stable polymorph in this dataset comes out at 5 meV/atom. As for the uncorrected energy: -2.516 eV/atom. For the volume, the calculation gives 219.02 Å³ per cell.

---

[4]
A relaxed NaSrBr crystal, computed with PBE-GGA.

a b c (Å): 7.383 4.224 7.746
angles (deg): 90.00 108.68 90.00
Space group Cm (No. 8)
Asymmetric unit:
Na (0.000, 0.000, 0.000)
Sr (0.029, 0.500, 0.580)
Br (0.262, 0.500, 0.288)

Summary:
The uncorrected formation energy comes out at -943 meV per atom. The energy above the most stable polymorph in this dataset comes out at 20 meV/atom. As for the uncorrected energy: -2.501 eV/atom. For the volume, the calculation gives 228.83 Å³ per cell.

---

[5]
A relaxed NaSrBr crystal, computed with PBE-GGA.

a b c (Å): 4.128 7.540 7.815
angles (deg): 105.27 105.18 90.02
Space group P1 (No. 1)
Asymmetric unit:
Na (0.000, 0.000, 0.000)
Na (0.186, 0.358, 0.375)
Sr (0.445, 0.402, 0.890)
Sr (0.742, 0.953, 0.487)
Br (0.087, 0.685, 0.177)
Br (0.346, 0.735, 0.697)

Summary:
The uncorrected formation energy comes out at -941 meV per atom. The energy above the most stable polymorph in this dataset comes out at 22 meV/atom. As for the uncorrected energy: -2.499 eV/atom. For the volume, the calculation gives 225.87 Å³ per cell.

---

[6]
A relaxed NaSr2Br crystal, computed with PBE-GGA.

a b c (Å): 8.708 8.708 8.708
angles (deg): 90.00 90.00 90.00
Space group Fm-3m (No. 225)
Asymmetric unit:
Na (0.000, 0.000, 0.000)
Sr (0.250, 0.250, 0.250)
Br (0.000, 0.000, 0.500)

Summary:
The uncorrected formation energy comes out at -422 meV per atom. The energy above the most stable polymorph in this dataset comes out at 252 meV/atom. As for the uncorrected energy: -2.010 eV/atom. For the volume, the calculation gives 660.28 Å³ per cell.

---

[7]
A relaxed NaSrBr2 crystal, computed with PBE-GGA.

a b c (Å): 4.2318 4.2318 24.2026
angles (deg): 90.00 90.00 120.00
Space group R3m (No. 160, hexagonal axes)
Asymmetric unit:
Na (0.0000, 0.0000, 0.0000)
Sr (0.0000, 0.0000, 0.8310)
Br (0.0000, 0.0000, 0.4053)
Br (0.0000, 0.0000, 0.5903)

Summary:
The uncorrected formation energy comes out at -1462 meV per atom. The energy above the most stable polymorph in this dataset comes out at 11 meV/atom. As for the uncorrected energy: -3.049 eV/atom. For the volume, the calculation gives 375.36 Å³ per cell.

---

[8]
A relaxed NaSrBr2 crystal, computed with PBE-GGA.

a b c (Å): 7.063 7.063 13.933
angles (deg): 90.00 90.00 90.00
Space group I-42d (No. 122)
Asymmetric unit:
Na (0.000, 0.000, 0.000)
Sr (0.000, 0.000, 0.500)
Br (0.239, 0.250, 0.125)

Summary:
The uncorrected formation energy comes out at -1339 meV per atom. The energy above the most stable polymorph in this dataset comes out at 134 meV/atom. As for the uncorrected energy: -2.926 eV/atom. For the volume, the calculation gives 695.06 Å³ per cell.

---

[9]
A relaxed NaSrBr3 crystal, computed with PBE-GGA.

a b c (Å): 5.968 5.968 5.968
angles (deg): 90.00 90.00 90.00
Space group Pm-3m (No. 221)
Asymmetric unit:
Na (0.000, 0.000, 0.000)
Sr (0.500, 0.500, 0.500)
Br (0.000, 0.500, 0.500)

Summary:
The uncorrected formation energy comes out at -1678 meV per atom. The energy above the most stable polymorph in this dataset comes out at 157 meV/atom. As for the uncorrected energy: -3.282 eV/atom. For the volume, the calculation gives 212.58 Å³ per cell.

---

[10]
A relaxed Na5SrBr7 crystal, computed with PBE-GGA.

a b c (Å): 14.116 4.252 25.227
angles (deg): 90.00 90.15 90.00
Space group Cm (No. 8)
Asymmetric unit:
Na (0.000, 0.000, 0.000)
Na (0.000, 0.000, 0.358)
Na (0.053, 0.500, 0.858)
Na (0.054, 0.500, 0.500)
Na (0.236, 0.500, 0.286)
Na (0.237, 0.500, 0.072)
Na (0.276, 0.000, 0.929)
Na (0.277, 0.000, 0.429)
Na (0.316, 0.500, 0.786)
Na (0.318, 0.500, 0.573)
Sr (0.069, 0.000, 0.680)
Sr (0.485, 0.000, 0.178)
Br (0.088, 0.000, 0.252)
Br (0.089, 0.000, 0.106)
Br (0.141, 0.500, 0.392)
Br (0.141, 0.500, 0.966)
Br (0.184, 0.000, 0.819)
Br (0.186, 0.000, 0.539)
Br (0.225, 0.500, 0.679)
Br (0.328, 0.500, 0.179)
Br (0.368, 0.000, 0.320)
Br (0.369, 0.000, 0.039)
Br (0.412, 0.500, 0.893)
Br (0.413, 0.500, 0.466)
Br (0.464, 0.000, 0.752)
Br (0.466, 0.000, 0.607)

Summary:
The uncorrected formation energy comes out at -1682 meV per atom. As for the uncorrected energy: -3.219 eV/atom. For the volume, the calculation gives 1514.14 Å³ per cell.

---

[11]
A relaxed NaSr2Br crystal, computed with PBE-GGA.

a b c (Å): 9.406 9.406 8.424
angles (deg): 90.00 90.00 90.00
Space group I-42d (No. 122)
Asymmetric unit:
Na (0.000, 0.000, 0.000)
Sr (0.195, 0.250, 0.625)
Br (0.000, 0.000, 0.500)

Summary:
The uncorrected formation energy comes out at -563 meV per atom. The energy above the most stable polymorph in this dataset comes out at 111 meV/atom. As for the uncorrected energy: -2.152 eV/atom. For the volume, the calculation gives 745.41 Å³ per cell.

---

[12]
A relaxed NaSrBr2 crystal, computed with PBE-GGA.

a b c (Å): 4.5009 4.5009 27.1180
angles (deg): 90.00 90.00 120.00
Space group R-3m (No. 166, hexagonal axes)
Asymmetric unit:
Na (0.0000, 0.0000, 0.0000)
Sr (0.0000, 0.0000, 0.5000)
Br (0.0000, 0.0000, 0.3920)

Summary:
The uncorrected formation energy comes out at -1382 meV per atom. The energy above the most stable polymorph in this dataset comes out at 91 meV/atom. As for the uncorrected energy: -2.969 eV/atom. For the volume, the calculation gives 475.75 Å³ per cell.